Entry A
Entry from OQMD via LeMat-Bulk: crystalline DyEr2Hg at its relaxed geometry (PBE).

Geometry as CIF:
```
data_DyEr2Hg
_chemical_formula_sum 'Dy2 Er4 Hg2'
_space_group_name_H-M_alt 'P 1'
_space_group_IT_number 1
_cell_length_a 5.388
_cell_length_b 6.704
_cell_length_c 6.704
_cell_angle_alpha 65.43
_cell_angle_beta 90.00
_cell_angle_gamma 90.00
loop_
_space_group_symop_operation_xyz
'x,y,z'
loop_
_atom_site_label
_atom_site_fract_x
_atom_site_fract_y
_atom_site_fract_z
_atom_site_occupancy
Dy1 0.000 0.345 0.345 1
Dy2 0.500 0.655 0.655 1
Er1 0.500 0.152 0.152 1
Er2 0.000 0.837 0.342 1
Er3 0.000 0.342 0.837 1
Er4 0.000 0.846 0.846 1
Hg1 0.500 0.664 0.160 1
Hg2 0.500 0.160 0.664 1
```

As for the space group: Amm2. For the size of the total moment, the calculation gives 0.075 μB per cell.

Entry B
Entry from OQMD via LeMat-Bulk: crystalline DyEr2Hg at its relaxed geometry (PBE).

Geometry as CIF:
```
data_DyEr2Hg
_chemical_formula_sum 'Dy2 Er4 Hg2'
_space_group_name_H-M_alt 'P 1'
_space_group_IT_number 1
_cell_length_a 5.084
_cell_length_b 6.695
_cell_length_c 6.695
_cell_angle_alpha 104.13
_cell_angle_beta 90.00
_cell_angle_gamma 90.00
loop_
_space_group_symop_operation_xyz
'x,y,z'
loop_
_atom_site_label
_atom_site_fract_x
_atom_site_fract_y
_atom_site_fract_z
_atom_site_occupancy
Dy1 0.750 0.574 0.346 1
Dy2 0.250 0.346 0.574 1
Er1 0.250 0.927 0.153 1
Er2 0.250 0.861 0.641 1
Er3 0.750 0.641 0.861 1
Er4 0.750 0.153 0.927 1
Hg1 0.250 0.424 0.074 1
Hg2 0.750 0.074 0.424 1
```

As for the space group: Ama2. For the size of the total moment, the calculation gives 0.040 μB per cell.

The winner here is entry B, beating the second structure by 9.2 kJ/mol of atoms.

Entry A
Entry from OQMD via LeMat-Bulk: crystalline DyErIr2 at its relaxed geometry (PBE).

Geometry as CIF:
```
data_DyErIr2
_chemical_formula_sum 'Dy1 Er1 Ir2'
_space_group_name_H-M_alt 'P 1'
_space_group_IT_number 1
_cell_length_a 4.739
_cell_length_b 4.739
_cell_length_c 3.506
_cell_angle_alpha 90.00
_cell_angle_beta 90.00
_cell_angle_gamma 90.00
loop_
_space_group_symop_operation_xyz
'x,y,z'
loop_
_atom_site_label
_atom_site_fract_x
_atom_site_fract_y
_atom_site_fract_z
_atom_site_occupancy
Dy1 0.500 0.500 0.500 1
Er1 0.000 0.000 0.500 1
Ir1 0.500 0.000 0.000 1
Ir2 0.000 0.500 0.000 1
```

As for the space group: P4/mmm. For the size of the total moment, the calculation gives 0.003 μB per cell.

Entry B
Entry from OQMD via LeMat-Bulk: crystalline DyErIr2 at its relaxed geometry (PBE).

Geometry as CIF:
```
data_DyErIr2
_chemical_formula_sum 'Dy2 Er2 Ir4'
_space_group_name_H-M_alt 'P 1'
_space_group_IT_number 1
_cell_length_a 4.248
_cell_length_b 5.570
_cell_length_c 7.216
_cell_angle_alpha 90.00
_cell_angle_beta 90.00
_cell_angle_gamma 90.00
loop_
_space_group_symop_operation_xyz
'x,y,z'
loop_
_atom_site_label
_atom_site_fract_x
_atom_site_fract_y
_atom_site_fract_z
_atom_site_occupancy
Dy1 0.500 0.127 0.176 1
Dy2 0.500 0.873 0.676 1
Er1 0.000 0.628 0.323 1
Er2 0.000 0.372 0.823 1
Ir1 0.500 0.611 0.039 1
Ir2 0.000 0.116 0.461 1
Ir3 0.500 0.389 0.539 1
Ir4 0.000 0.884 0.961 1
```

As for the space group: Pmc2_1. For the size of the total moment, the calculation gives 0.029 μB per cell.

The winner here is entry A, beating the second structure by 8.6 kJ/mol of atoms.